Record 1
Entry from Alexandria via LeMat-Bulk: a relaxed Nb3AuI crystal (PBE).

For the energy above the most stable polymorph in this dataset, the calculation gives 0.0 kJ/mol of atoms.

abc: 5.056 5.056 5.056
angles: 90.00 90.00 90.00
Space group Pm-3m (No. 221)
Unique sites:
1 Nb 0.000 0.000 0.500 [3 per cell]
2 Au 0.000 0.000 0.000 [1 per cell]
3 I 0.500 0.500 0.500 [1 per cell]


Record 2
Entry from Alexandria via LeMat-Bulk: a relaxed Nb2Au4I crystal (PBE).

The total DFT energy (no corrections) is -56.1 eV/cell.

abc: 5.400 5.400 13.282
angles: 90.00 90.00 90.00
Space group I4/mmm (No. 139)
Unique sites:
1 Nb 0.000 0.000 0.088 [4 per cell]
2 Au 0.000 0.000 0.286 [4 per cell]
3 Au 0.000 0.500 0.000 [4 per cell]
4 I 0.000 0.000 0.500 [2 per cell]


Record 3
Entry from Alexandria via LeMat-Bulk: a relaxed NbAu2I crystal (PBE).

For the energy above the most stable polymorph in this dataset, the calculation gives 24.4 kJ/mol of atoms.

abc: 7.022 7.022 7.022
angles: 90.00 90.00 90.00
Space group Fm-3m (No. 225)
Unique sites:
1 Nb 0.000 0.000 0.000 [4 per cell]
2 Au 0.250 0.250 0.250 [8 per cell]
3 I 0.000 0.000 0.500 [4 per cell]


Record 4
Entry from Alexandria via LeMat-Bulk: a relaxed NbAuI3 crystal (PBE).

For the energy above the most stable polymorph in this dataset, the calculation gives 0.0 kJ/mol of atoms.

abc: 5.533 5.533 5.533
angles: 90.00 90.00 90.00
Space group Pm-3m (No. 221)
Unique sites:
1 Nb 0.000 0.000 0.000 [1 per cell]
2 Au 0.500 0.500 0.500 [1 per cell]
3 I 0.000 0.000 0.500 [3 per cell]


Record 5
Entry from Alexandria via LeMat-Bulk: a relaxed NbAuI3 crystal (PBE).

For the energy above the most stable polymorph in this dataset, the calculation gives 48.7 kJ/mol of atoms.

abc: 5.627 5.627 5.627
angles: 90.00 90.00 90.00
Space group Pm-3m (No. 221)
Unique sites:
1 Nb 0.000 0.000 0.000 [1 per cell]
2 Au 0.500 0.500 0.500 [1 per cell]
3 I 0.000 0.500 0.500 [3 per cell]


Record 6
Entry from Alexandria via LeMat-Bulk: a relaxed NbAu3I crystal (PBE).

For the energy above the most stable polymorph in this dataset, the calculation gives 55.8 kJ/mol of atoms.

abc: 5.261 5.261 5.261
angles: 90.00 90.00 90.00
Space group Pm-3m (No. 221)
Unique sites:
1 Nb 0.000 0.000 0.000 [1 per cell]
2 Au 0.000 0.500 0.500 [3 per cell]
3 I 0.500 0.500 0.500 [1 per cell]


Record 7
Entry from Alexandria via LeMat-Bulk: a relaxed NbAu3I crystal (PBE).

For the energy above the most stable polymorph in this dataset, the calculation gives 0.0 kJ/mol of atoms.

abc: 5.220 5.220 5.220
angles: 90.00 90.00 90.00
Space group Pm-3m (No. 221)
Unique sites:
1 Nb 0.000 0.000 0.000 [1 per cell]
2 Au 0.000 0.000 0.500 [3 per cell]
3 I 0.500 0.500 0.500 [1 per cell]


Record 8
Entry from Alexandria via LeMat-Bulk: a relaxed NbAu2I crystal (PBE).

For the energy above the most stable polymorph in this dataset, the calculation gives 0.0 kJ/mol of atoms.

abc: 8.170 8.170 5.539
angles: 90.00 90.00 90.00
Space group I-42d (No. 122)
Unique sites:
1 Nb 0.000 0.000 0.000 [4 per cell]
2 Au 0.217 0.250 0.125 [8 per cell]
3 I 0.000 0.000 0.500 [4 per cell]


Record 9
Entry from Alexandria via LeMat-Bulk: a relaxed Nb2AuI crystal (PBE).

For the energy above the most stable polymorph in this dataset, the calculation gives 27.0 kJ/mol of atoms.

abc: 4.147 4.147 20.132
angles: 90.00 90.00 90.00
Space group I-42d (No. 122)
Unique sites:
1 Nb 0.231 0.250 0.125 [8 per cell]
2 Au 0.000 0.000 0.000 [4 per cell]
3 I 0.000 0.000 0.500 [4 per cell]


Record 10
Entry from Alexandria via LeMat-Bulk: a relaxed Nb2AuI crystal (PBE).

For the energy above the most stable polymorph in this dataset, the calculation gives 0.0 kJ/mol of atoms.

abc: 6.748 6.748 6.748
angles: 90.00 90.00 90.00
Space group Fm-3m (No. 225)
Unique sites:
1 Nb 0.250 0.250 0.250 [8 per cell]
2 Au 0.000 0.000 0.000 [4 per cell]
3 I 0.000 0.000 0.500 [4 per cell]


Record 11
Entry from Alexandria via LeMat-Bulk: a relaxed NbAuI6 crystal (PBE).

For the energy above the most stable polymorph in this dataset, the calculation gives 3.8 kJ/mol of atoms.

abc: 7.789 12.585 7.858
angles: 90.00 117.67 90.00
Space group C2/m (No. 12)
Unique sites:
1 Nb 0.000 0.000 0.000 [2 per cell]
2 Au 0.000 0.500 0.500 [2 per cell]
3 I 0.203 0.000 0.795 [4 per cell]
4 I 0.245 0.343 0.749 [8 per cell]


Record 12
Entry from Alexandria via LeMat-Bulk: a relaxed NbAuI2 crystal (PBE).

The total DFT energy (no corrections) is -56.8 eV/cell.

abc: 7.315 7.315 7.315
angles: 90.00 90.00 90.00
Space group Fm-3m (No. 225)
Unique sites:
1 Nb 0.000 0.000 0.000 [4 per cell]
2 Au 0.000 0.000 0.500 [4 per cell]
3 I 0.250 0.250 0.250 [8 per cell]


Record 13
Entry from Alexandria via LeMat-Bulk: a relaxed Nb3AuI crystal (PBE).

For the energy above the most stable polymorph in this dataset, the calculation gives 16.3 kJ/mol of atoms.

abc: 4.997 4.997 4.997
angles: 90.00 90.00 90.00
Space group Pm-3m (No. 221)
Unique sites:
1 Nb 0.000 0.000 0.500 [3 per cell]
2 Au 0.500 0.500 0.500 [1 per cell]
3 I 0.000 0.000 0.000 [1 per cell]


Record 14
Entry from Alexandria via LeMat-Bulk: a relaxed NbNiAuI2 crystal (PBE).

The total DFT energy (no corrections) is -18.0 eV/cell.

abc: 5.100 5.100 4.887
angles: 90.00 90.00 90.00
Space group P4/mmm (No. 123)
Unique sites:
1 Nb 0.000 0.000 0.000 [1 per cell]
2 Ni 0.000 0.000 0.500 [1 per cell]
3 Au 0.500 0.500 0.000 [1 per cell]
4 I 0.000 0.500 0.500 [2 per cell]


Record 15
Entry from Alexandria via LeMat-Bulk: a relaxed NbPd2AuI crystal (PBE).

The total DFT energy (no corrections) is -18.9 eV/cell.

abc: 5.014 5.014 5.229
angles: 90.00 90.00 90.00
Space group P4/mmm (No. 123)
Unique sites:
1 Nb 0.000 0.000 0.000 [1 per cell]
2 Pd 0.000 0.500 0.500 [2 per cell]
3 Au 0.500 0.500 0.500 [1 per cell]
4 I 0.500 0.500 0.000 [1 per cell]


Record 16
Entry from Alexandria via LeMat-Bulk: a relaxed Rb2NbAuI crystal (PBE).

The total DFT energy (no corrections) is -12.9 eV/cell.

abc: 6.814 6.814 5.456
angles: 90.00 90.00 90.00
Space group P4/mmm (No. 123)
Unique sites:
1 Rb 0.000 0.500 0.000 [2 per cell]
2 Nb 0.000 0.000 0.500 [1 per cell]
3 Au 0.500 0.500 0.000 [1 per cell]
4 I 0.500 0.500 0.500 [1 per cell]


Record 17
Entry from Alexandria via LeMat-Bulk: a relaxed NbSb2AuI crystal (PBE).

For the energy above the most stable polymorph in this dataset, the calculation gives 54.1 kJ/mol of atoms.

abc: 5.324 5.324 5.542
angles: 90.00 90.00 90.00
Space group P4/mmm (No. 123)
Unique sites:
1 Nb 0.000 0.000 0.000 [1 per cell]
2 Sb 0.000 0.500 0.500 [2 per cell]
3 Au 0.500 0.500 0.500 [1 per cell]
4 I 0.500 0.500 0.000 [1 per cell]


Record 18
Entry from Alexandria via LeMat-Bulk: a relaxed NbSb2AuI crystal (PBE).

For the energy above the most stable polymorph in this dataset, the calculation gives 0.0 kJ/mol of atoms.

abc: 5.398 5.398 5.406
angles: 90.00 90.00 90.00
Space group P4/mmm (No. 123)
Unique sites:
1 Nb 0.000 0.000 0.000 [1 per cell]
2 Sb 0.000 0.500 0.000 [2 per cell]
3 Au 0.500 0.500 0.500 [1 per cell]
4 I 0.000 0.000 0.500 [1 per cell]


Record 19
Entry from Alexandria via LeMat-Bulk: a relaxed NbSiAuI2 crystal (PBE).

The total DFT energy (no corrections) is -17.3 eV/cell.

abc: 5.490 5.490 5.271
angles: 90.00 90.00 90.00
Space group P4/mmm (No. 123)
Unique sites:
1 Nb 0.000 0.000 0.000 [1 per cell]
2 Si 0.500 0.500 0.500 [1 per cell]
3 Au 0.000 0.000 0.500 [1 per cell]
4 I 0.000 0.500 0.000 [2 per cell]


Record 20
Entry from Alexandria via LeMat-Bulk: a relaxed TaNbAu2I crystal (PBE).

The total DFT energy (no corrections) is -20.2 eV/cell.

abc: 5.040 5.040 5.082
angles: 90.00 90.00 90.00
Space group P4/mmm (No. 123)
Unique sites:
1 Ta 0.000 0.000 0.000 [1 per cell]
2 Nb 0.500 0.500 0.000 [1 per cell]
3 Au 0.000 0.500 0.500 [2 per cell]
4 I 0.500 0.500 0.500 [1 per cell]